Material: Ni
Method: DFT, meta-GGA SCAN
State: PBEsol geometry

symmetry	I4/mmm (139)
energy above the most stable polymorph in this dataset	0.09	eV per formula unit
crystal system	tetragonal
magnetization	0.71	μB per cell

abc: 2.3969 2.3969 2.3969
angles: 105.73 105.73 117.26
With the nearest neighbours (Å) after each atom.
Positions (direct):
Ni  0.0000  0.0000  0.0000  10 Ni 2.40-2.50